# Rb2MnTlPd (PBE-GGA, optimized geometry)
# Calculated density = 4218 kg/m³
# SG = P4/mmm
# Density of states at the Fermi level = 0.718 states/eV per atom
# Energy of formation = 0.47 eV/atom
data_Rb2MnTlPd
_chemical_formula_sum 'Rb2 Mn1 Tl1 Pd1'
_space_group_name_H-M_alt 'P 1'
_space_group_IT_number 1
_space_group_name_Hall 'P 1'
_cell_length_a 6.5146
_cell_length_b 6.5146
_cell_length_c 4.9783
_cell_angle_alpha 90.00
_cell_angle_beta 90.00
_cell_angle_gamma 90.00
loop_
_atom_site_label
_atom_site_type_symbol
_atom_site_fract_x
_atom_site_fract_y
_atom_site_fract_z
Rb1 Rb 0.0000 0.5000 0.0000
Rb2 Rb 0.5000 0.0000 0.0000
Mn1 Mn 0.0000 0.0000 0.5000
Tl1 Tl 0.5000 0.5000 0.5000
Pd1 Pd 0.0000 0.0000 0.0000

***

# KBaTeSe2 (PBE-GGA, optimized geometry)
# Calculated density = 4330 kg/m³
# SG = P2/c
# Density of states at the Fermi level = 0.875 states/eV per atom
# Calculated total energy = -37.1 eV per cell
data_KBaTeSe2
_chemical_formula_sum 'K2 Ba2 Te2 Se4'
_space_group_name_H-M_alt 'P 1'
_space_group_IT_number 1
_space_group_name_Hall 'P 1'
_cell_length_a 7.9690
_cell_length_b 5.7200
_cell_length_c 8.0262
_cell_angle_alpha 90.00
_cell_angle_beta 104.41
_cell_angle_gamma 90.00
loop_
_atom_site_label
_atom_site_type_symbol
_atom_site_fract_x
_atom_site_fract_y
_atom_site_fract_z
K1 K 0.0000 0.0114 0.2500
K2 K 0.0000 0.9886 0.7500
Ba1 Ba 0.5000 0.2814 0.7500
Ba2 Ba 0.5000 0.7186 0.2500
Te1 Te 0.0000 0.5000 0.0000
Te2 Te 0.0000 0.5000 0.5000
Se1 Se 0.3040 0.2301 0.0663
Se2 Se 0.3040 0.7699 0.5663
Se3 Se 0.6960 0.2301 0.4337
Se4 Se 0.6960 0.7699 0.9337

***

# BTeHRhAu (PBE-GGA, optimized geometry)
# Calculated density = 8578 kg/m³
# SG = P1
# Density of states at the Fermi level = 0.359 states/eV per atom
# Energy relative to the lowest polymorph listed for this composition = 0.085 eV/atom
data_BTeHRhAu
_chemical_formula_sum 'B1 Te1 H1 Rh1 Au1'
_space_group_name_H-M_alt 'P 1'
_space_group_IT_number 1
_space_group_name_Hall 'P 1'
_cell_length_a 3.8827
_cell_length_b 3.9928
_cell_length_c 6.0516
_cell_angle_alpha 82.79
_cell_angle_beta 82.98
_cell_angle_gamma 66.42
loop_
_atom_site_label
_atom_site_type_symbol
_atom_site_fract_x
_atom_site_fract_y
_atom_site_fract_z
B1 B 0.0000 0.0000 0.0000
Te1 Te 0.1070 0.5622 0.3746
H1 H 0.6487 0.2607 0.0051
Rh1 Rh 0.4744 0.9585 0.1546
Au1 Au 0.0523 0.5308 0.8271

***

# BaLa2Co (PBE-GGA, optimized geometry)
# Calculated density = 5884 kg/m³
# SG = Imm2
# Density of states at the Fermi level = 1.145 states/eV per atom
# Energy relative to the lowest polymorph listed for this composition = 0.241 eV/atom
# Energy of formation = 0.17 eV/atom
data_BaLa2Co
_chemical_formula_sum 'Ba1 La2 Co1'
_space_group_name_H-M_alt 'P 1'
_space_group_IT_number 1
_space_group_name_Hall 'P 1'
_cell_length_a 7.1484
_cell_length_b 7.1484
_cell_length_c 7.1484
_cell_angle_alpha 149.62
_cell_angle_beta 133.17
_cell_angle_gamma 56.85
loop_
_atom_site_label
_atom_site_type_symbol
_atom_site_fract_x
_atom_site_fract_y
_atom_site_fract_z
Ba1 Ba 0.0000 0.0000 0.0000
La1 La 0.3453 0.3453 0.0000
La2 La 0.6787 0.1787 0.5000
Co1 Co 0.2101 0.7101 0.5000

***

# Hf2Pd5Pt (PBE-GGA, optimized geometry)
# Calculated density = 13918 kg/m³
# SG = Pbam
# Density of states at the Fermi level = 0.128 states/eV per atom
# Energy of formation = -0.91 eV/atom
data_Hf2Pd5Pt
_chemical_formula_sum 'Hf4 Pd10 Pt2'
_space_group_name_H-M_alt 'P 1'
_space_group_IT_number 1
_space_group_name_Hall 'P 1'
_cell_length_a 5.6736
_cell_length_b 11.3564
_cell_length_c 4.0150
_cell_angle_alpha 90.00
_cell_angle_beta 90.00
_cell_angle_gamma 90.00
loop_
_atom_site_label
_atom_site_type_symbol
_atom_site_fract_x
_atom_site_fract_y
_atom_site_fract_z
Hf1 Hf 0.2456 0.1241 0.0000
Hf2 Hf 0.2544 0.6241 0.0000
Hf3 Hf 0.7456 0.3759 0.0000
Hf4 Hf 0.7544 0.8759 0.0000
Pd1 Pd 0.0000 0.5000 0.5000
Pd2 Pd 0.0039 0.7502 0.5000
Pd3 Pd 0.2464 0.3740 0.0000
Pd4 Pd 0.2536 0.8740 0.0000
Pd5 Pd 0.4961 0.2502 0.5000
Pd6 Pd 0.5000 0.0000 0.5000
Pd7 Pd 0.5039 0.7498 0.5000
Pd8 Pd 0.7464 0.1260 0.0000
Pd9 Pd 0.7536 0.6260 0.0000
Pd10 Pd 0.9961 0.2498 0.5000
Pt1 Pt 0.0000 0.0000 0.5000
Pt2 Pt 0.5000 0.5000 0.5000

***

# HoGaSn2Cl8 (PBE-GGA, optimized geometry)
# Calculated density = 3283 kg/m³
# SG = P-1
# Density of states at the Fermi level = 0.000 states/eV per atom
# Calculated total energy = -46.8 eV per cell
data_HoGaSn2Cl8
_chemical_formula_sum 'Ho1 Ga1 Sn2 Cl8'
_space_group_name_H-M_alt 'P 1'
_space_group_IT_number 1
_space_group_name_Hall 'P 1'
_cell_length_a 6.5072
_cell_length_b 6.7762
_cell_length_c 8.6752
_cell_angle_alpha 88.52
_cell_angle_beta 88.90
_cell_angle_gamma 88.73
loop_
_atom_site_label
_atom_site_type_symbol
_atom_site_fract_x
_atom_site_fract_y
_atom_site_fract_z
Ho1 Ho 0.0000 0.0000 0.0000
Ga1 Ga 0.0000 0.0000 0.5000
Sn1 Sn 0.4967 0.4918 0.7473
Sn2 Sn 0.5033 0.5082 0.2527
Cl1 Cl 0.2056 0.8188 0.7771
Cl2 Cl 0.2341 0.8507 0.2226
Cl3 Cl 0.2481 0.3059 0.9737
Cl4 Cl 0.2887 0.3399 0.5265
Cl5 Cl 0.7113 0.6600 0.4735
Cl6 Cl 0.7519 0.6941 0.0263
Cl7 Cl 0.7659 0.1493 0.7774
Cl8 Cl 0.7944 0.1812 0.2229

***

What did the second record say?
# KBaTeSe2 (PBE-GGA, optimized geometry)
# Calculated density = 4330 kg/m³
# SG = P2/c
# Density of states at the Fermi level = 0.875 states/eV per atom
# Calculated total energy = -37.1 eV per cell
data_KBaTeSe2
_chemical_formula_sum 'K2 Ba2 Te2 Se4'
_space_group_name_H-M_alt 'P 1'
_space_group_IT_number 1
_space_group_name_Hall 'P 1'
_cell_length_a 7.9690
_cell_length_b 5.7200
_cell_length_c 8.0262
_cell_angle_alpha 90.00
_cell_angle_beta 104.41
_cell_angle_gamma 90.00
loop_
_atom_site_label
_atom_site_type_symbol
_atom_site_fract_x
_atom_site_fract_y
_atom_site_fract_z
K1 K 0.0000 0.0114 0.2500
K2 K 0.0000 0.9886 0.7500
Ba1 Ba 0.5000 0.2814 0.7500
Ba2 Ba 0.5000 0.7186 0.2500
Te1 Te 0.0000 0.5000 0.0000
Te2 Te 0.0000 0.5000 0.5000
Se1 Se 0.3040 0.2301 0.0663
Se2 Se 0.3040 0.7699 0.5663
Se3 Se 0.6960 0.2301 0.4337
Se4 Se 0.6960 0.7699 0.9337

***

The highest density of states at the Fermi level belongs to which entry?
BaLa2Co

***

calculated density of number 5 (Hf2Pd5Pt)?
13918 kg/m³